Below is crystalline Ba2CaPt at its relaxed geometry, with properties calculated at the PBE-GGA level.

a = 6.5105 Å, b = 6.5105 Å, c = 7.4038 Å
α = 114.96°, β = 114.96°, γ = 37.17°
Positions (direct):
Ba  0.0000  0.0000  0.0000
Ba  0.1690  0.1690  0.6636
Ca  0.8244  0.8244  0.3541
Pt  0.4423  0.4423  0.6461

Results
Offset from the most stable computed form ... 41.0 kJ/mol of formula units
Calculated formation energy ... -0.427 eV per atom